# 1
SrPaH | PBE-GGA | relaxed

```
SrPaH
1.0
3.423 0.000 0.000
-1.711 2.964 0.000
0.000 0.000 12.960
Sr Pa H
2 2 2
Direct
0.000 0.000 0.135
0.000 0.000 0.865
0.333 0.667 0.382
0.333 0.667 0.618
0.000 0.000 0.500
0.333 0.667 0.000
```

Properties
DFT total energy in eV/atom: -4.581

# 2
AcAu12 | PBE-GGA | relaxed

```
AcAu12
1.0
-4.764 4.764 2.888
4.764 -4.764 2.888
4.764 4.764 -2.888
Ac Au
1 12
Direct
0.000 0.000 0.000
0.000 0.000 0.500
0.000 0.348 0.348
0.000 0.500 0.000
0.000 0.652 0.652
0.282 0.500 0.782
0.348 0.000 0.348
0.500 0.000 0.000
0.500 0.282 0.782
0.500 0.500 0.500
0.500 0.718 0.218
0.652 0.000 0.652
0.718 0.500 0.218
```

Properties
ΔE_f in eV/atom: -0.232
DFT total energy in eV/atom: -3.574
Polymorph energy (0 for the lowest one) in eV per formula unit: 0.00

# 3
CuTc2B2 | PBE-GGA | relaxed

```
CuTc2B2
1.0
5.750 0.000 0.000
0.000 5.750 0.000
0.000 0.000 3.105
Cu Tc B
2 4 4
Direct
0.000 0.000 0.000
0.500 0.500 0.000
0.173 0.327 0.500
0.327 0.827 0.500
0.673 0.173 0.500
0.827 0.673 0.500
0.115 0.615 0.000
0.385 0.115 0.000
0.615 0.885 0.000
0.885 0.385 0.000
```

Properties
ΔE_f in eV/atom: -0.207
DFT total energy in eV/atom: -7.843

# 4
AgMo2Pb | PBE-GGA | relaxed

```
AgMo2Pb
1.0
2.811 -4.726 0.000
2.811 4.726 0.000
-0.783 0.000 2.764
Ag Mo Pb
1 2 1
Direct
0.000 0.000 0.000
0.000 0.500 0.500
0.500 0.000 0.500
0.500 0.500 0.000
```

Properties
ΔE_f in eV/atom: 0.736
DFT total energy in eV/atom: -6.320

# 5
LiZn2Mo | PBE-GGA | relaxed

```
LiZn2Mo
1.0
2.636 0.000 0.000
0.000 2.636 0.000
0.000 0.000 8.637
Li Zn Mo
1 2 1
Direct
0.000 0.000 0.000
0.000 0.000 0.511
0.500 0.500 0.760
0.500 0.500 0.269
```

Properties
ΔE_f in eV/atom: 0.115
DFT total energy in eV/atom: -3.709
Polymorph energy (0 for the lowest one) in eV per formula unit: 0.51

# 6
CuAs2P | PBE-GGA | relaxed

```
CuAs2P
1.0
3.676 0.000 0.000
0.000 3.676 0.000
0.000 0.000 10.058
Cu As P
2 4 2
Direct
0.250 0.750 0.000
0.750 0.250 0.000
0.250 0.250 0.186
0.250 0.750 0.500
0.750 0.250 0.500
0.750 0.750 0.814
0.250 0.250 0.744
0.750 0.750 0.256
```

Properties
ΔE_f in eV/atom: 0.396
DFT total energy in eV/atom: -4.305

# 7
GdGaHgGe | PBE-GGA | relaxed

```
GdGaHgGe
1.0
0.000 3.569 3.569
3.569 0.000 3.569
3.569 3.569 0.000
Gd Ga Hg Ge
1 1 1 1
Direct
0.000 0.000 0.000
0.500 0.500 0.500
0.750 0.750 0.750
0.250 0.250 0.250
```

Properties
ΔE_f in eV/atom: -0.251
DFT total energy in eV/atom: -5.758

# 8
Sr3ZnOs | PBE-GGA | relaxed

```
Sr3ZnOs
1.0
5.788 0.000 0.000
0.000 5.788 0.000
0.000 0.000 5.788
Sr Zn Os
3 1 1
Direct
0.000 0.000 0.500
0.000 0.500 0.000
0.500 0.000 0.000
0.500 0.500 0.500
0.000 0.000 0.000
```

Properties
ΔE_f in eV/atom: 0.473
DFT total energy in eV/atom: -3.037
Polymorph energy (0 for the lowest one) in eV per formula unit: 0.00

# 9
K2BaCa | PBE-GGA | relaxed

```
K2BaCa
1.0
4.553 0.000 0.000
0.000 7.112 0.000
0.000 0.000 7.473
K Ba Ca
2 1 1
Direct
0.000 0.000 0.000
0.500 0.500 0.000
0.000 0.500 0.500
0.500 0.000 0.500
```

Properties
ΔE_f in eV/atom: 0.136
DFT total energy in eV/atom: -1.394
Polymorph energy (0 for the lowest one) in eV per formula unit: 0.20

# 10
Er7ThSc3 | PBE-GGA | relaxed

```
Er7ThSc3
1.0
3.315 -9.021 0.000
3.315 9.021 0.000
-0.268 0.000 10.893
Er Th Sc
14 2 6
Direct
0.087 0.412 0.037
0.089 0.413 0.463
0.161 0.344 0.750
0.246 0.246 0.249
0.344 0.161 0.750
0.412 0.087 0.037
0.413 0.089 0.463
0.587 0.911 0.537
0.588 0.913 0.963
0.656 0.839 0.250
0.754 0.754 0.751
0.839 0.656 0.250
0.911 0.587 0.537
0.913 0.588 0.963
0.000 0.000 0.500
0.500 0.500 0.000
0.000 0.000 0.000
0.249 0.750 0.250
0.250 0.751 0.750
0.500 0.500 0.500
0.750 0.249 0.250
0.751 0.250 0.750
```

Properties
ΔE_f in eV/atom: 0.153
DFT total energy in eV/atom: -5.151
Polymorph energy (0 for the lowest one) in eV per formula unit: 0.00

# 11
NpPaNiOs | PBE-GGA | relaxed

```
NpPaNiOs
1.0
0.000 3.251 3.251
3.251 0.000 3.251
3.251 3.251 0.000
Np Pa Ni Os
1 1 1 1
Direct
0.000 0.000 0.000
0.750 0.750 0.750
0.250 0.250 0.250
0.500 0.500 0.500
```

Properties
ΔE_f in eV/atom: -0.171
DFT total energy in eV/atom: -10.033

# 12
La3In2Ru | PBE-GGA | relaxed

```
La3In2Ru
1.0
4.064 -5.553 0.000
4.064 5.553 0.000
-1.391 0.000 8.179
La In Ru
6 4 2
Direct
0.040 0.411 0.775
0.173 0.173 0.170
0.411 0.040 0.775
0.589 0.960 0.225
0.827 0.827 0.830
0.960 0.589 0.225
0.000 0.000 0.500
0.371 0.629 0.500
0.500 0.500 0.000
0.629 0.371 0.500
0.212 0.788 0.000
0.788 0.212 0.000
```

Properties
ΔE_f in eV/atom: -0.303
DFT total energy in eV/atom: -5.226
Polymorph energy (0 for the lowest one) in eV per formula unit: 0.02

# 13
YCr3Tc | PBE-GGA | relaxed

```
YCr3Tc
1.0
4.650 0.000 0.000
0.000 4.650 0.000
0.000 0.000 4.650
Y Cr Tc
1 3 1
Direct
0.000 0.000 0.000
0.000 0.500 0.500
0.500 0.000 0.500
0.500 0.500 0.000
0.500 0.500 0.500
```

Properties
ΔE_f in eV/atom: 0.822
DFT total energy in eV/atom: -8.318
Polymorph energy (0 for the lowest one) in eV per formula unit: 0.00

# 14
BaPrCuPd | PBE-GGA | relaxed

```
BaPrCuPd
1.0
0.000 3.769 3.769
3.769 0.000 3.769
3.769 3.769 0.000
Ba Pr Cu Pd
1 1 1 1
Direct
0.000 0.000 0.000
0.500 0.500 0.500
0.750 0.750 0.750
0.250 0.250 0.250
```

Properties
ΔE_f in eV/atom: -0.206
DFT total energy in eV/atom: -4.204

# 15
NpTcSn2 | PBE-GGA | relaxed

```
NpTcSn2
1.0
1.515 0.875 11.038
-1.515 0.875 11.038
0.000 -1.749 11.038
Np Tc Sn
1 1 2
Direct
0.000 0.000 0.000
0.500 0.500 0.500
0.418 0.418 0.418
0.582 0.582 0.582
```

Properties
ΔE_f in eV/atom: 0.590
DFT total energy in eV/atom: -7.238
Polymorph energy (0 for the lowest one) in eV per formula unit: 2.10

# 16
NiHgTe2N | PBE-GGA | relaxed

```
NiHgTe2N
1.0
5.587 0.000 0.000
0.000 5.587 0.000
0.000 0.000 3.420
Ni Hg Te N
1 1 2 1
Direct
0.000 0.000 0.000
0.500 0.500 0.500
0.000 0.500 0.000
0.500 0.000 0.000
0.000 0.000 0.500
```

Properties
DFT total energy in eV/atom: -3.709
ΔE_f (raw) in eV/f.u.: 2.1
Polymorph energy (0 for the lowest one) in eV per formula unit: 0.00

# 17
K2BaAsO4 | PBE-GGA | relaxed

```
K2BaAsO4
1.0
-2.980 2.980 5.080
2.980 -2.980 5.080
2.980 2.980 -5.080
K Ba As O
2 1 1 4
Direct
0.000 0.000 0.000
0.750 0.250 0.500
0.500 0.500 0.000
0.250 0.750 0.500
0.181 0.037 0.521
0.340 0.819 0.856
0.516 0.660 0.479
0.963 0.484 0.144
```

Properties
DFT total energy in eV/atom: -5.238
ΔE_f (raw) in eV/f.u.: -13.3

# 18
La2InW | PBE-GGA | relaxed

```
La2InW
1.0
3.434 -4.728 0.000
3.434 4.728 0.000
0.000 0.000 3.192
La In W
2 1 1
Direct
0.000 0.500 0.000
0.500 0.000 0.000
0.000 0.000 0.500
0.500 0.500 0.500
```

Properties
ΔE_f in eV/atom: 0.358
DFT total energy in eV/atom: -6.029

# 19
DyReO4F | PBE-GGA | relaxed

```
DyReO4F
1.0
4.854 -3.550 0.000
4.854 3.550 0.000
-2.044 0.000 6.730
Dy Re O F
2 2 8 2
Direct
0.199 0.199 0.088
0.801 0.801 0.912
0.354 0.354 0.705
0.646 0.646 0.295
0.110 0.469 0.851
0.255 0.255 0.453
0.458 0.458 0.235
0.469 0.110 0.851
0.531 0.890 0.149
0.542 0.542 0.765
0.745 0.745 0.547
0.890 0.531 0.149
0.008 0.008 0.827
0.992 0.992 0.173
```

Properties
DFT total energy in eV/atom: -8.025
ΔE_f (raw) in eV/f.u.: -17.4

# 20
LiCaAl2 | PBE-GGA | relaxed

```
LiCaAl2
1.0
4.096 0.000 0.000
0.000 4.367 0.000
0.000 0.000 4.750
Li Ca Al
1 1 2
Direct
0.000 0.000 0.000
0.500 0.500 0.000
0.000 0.500 0.500
0.500 0.000 0.500
```

Properties
ΔE_f in eV/atom: -0.075
DFT total energy in eV/atom: -2.925
Polymorph energy (0 for the lowest one) in eV per formula unit: 0.34

# 21
CaLaY2 | PBE-GGA | relaxed

```
CaLaY2
1.0
1.833 1.058 12.117
-1.833 1.058 12.117
0.000 -2.116 12.117
Ca La Y
1 1 2
Direct
0.000 0.000 0.000
0.166 0.166 0.166
0.580 0.580 0.580
0.753 0.753 0.753
```

Properties
ΔE_f in eV/atom: 0.056
DFT total energy in eV/atom: -4.908
Polymorph energy (0 for the lowest one) in eV per formula unit: 0.00

# 22
CoAsW2 | PBE-GGA | relaxed

```
CoAsW2
1.0
-1.894 1.894 4.027
1.894 -1.894 4.027
1.894 1.894 -4.027
Co As W
1 1 2
Direct
0.000 0.000 0.000
0.750 0.250 0.500
0.250 0.750 0.500
0.500 0.500 0.000
```

Properties
ΔE_f in eV/atom: 0.368
DFT total energy in eV/atom: -9.048

# 23
Ba8P3AuBr4 | PBE-GGA | relaxed

```
Ba8P3AuBr4
1.0
4.719 2.724 8.011
-4.719 2.724 8.011
0.000 -5.449 8.011
Ba P Au Br
8 3 1 4
Direct
0.230 0.743 0.743
0.238 0.238 0.238
0.257 0.257 0.770
0.257 0.770 0.257
0.743 0.230 0.743
0.743 0.743 0.230
0.762 0.762 0.762
0.770 0.257 0.257
0.000 0.000 0.500
0.000 0.500 0.000
0.500 0.000 0.000
0.500 0.500 0.500
0.000 0.000 0.000
0.000 0.500 0.500
0.500 0.000 0.500
0.500 0.500 0.000
```

Properties
DFT total energy in eV/atom: -4.037
ΔE_f (raw) in eV/f.u.: -23.0

# 24
Zn2GaB | PBE-GGA | relaxed

```
Zn2GaB
1.0
0.000 3.053 3.053
3.053 0.000 3.053
3.053 3.053 0.000
Zn Ga B
2 1 1
Direct
0.250 0.250 0.250
0.750 0.750 0.750
0.000 0.000 0.000
0.500 0.500 0.500
```

Properties
ΔE_f in eV/atom: 0.786
DFT total energy in eV/atom: -2.277
Polymorph energy (0 for the lowest one) in eV per formula unit: 0.87

# 25
LaSm7Er2 | PBE-GGA | relaxed

```
LaSm7Er2
1.0
4.452 -8.032 0.000
4.452 8.032 0.000
0.000 0.000 5.761
La Sm Er
1 7 2
Direct
0.000 0.000 0.000
0.061 0.296 0.500
0.228 0.772 0.000
0.296 0.061 0.500
0.500 0.500 0.500
0.704 0.939 0.500
0.772 0.228 0.000
0.939 0.704 0.500
0.296 0.704 0.500
0.704 0.296 0.500
```

Properties
ΔE_f in eV/atom: 0.652
DFT total energy in eV/atom: -4.056
Polymorph energy (0 for the lowest one) in eV per formula unit: 6.15